[1]
First-principles (PBE-GGA) data for a relaxed Ac2TmIn4Hg3 crystal, as listed in Alexandria.

Magnetic moment: 0.00 μB/cell
Crystal system: tetragonal
Symmetry: P-4m2
Calculated volume: 289.05 Å³ per cell
DFT formation energy: -0.351 eV/atom
Density of states at the Fermi level: 0.60 states/eV/atom

a = 4.7260 Å, b = 4.7260 Å, c = 12.9416 Å
α = 90.00°, β = 90.00°, γ = 90.00°
Fractional coordinates of all 10 atoms:
Hg: 0.5000 0.0000 0.8627
Hg: 0.0000 0.5000 0.1373
Hg: 0.0000 0.0000 0.5000
Ac: 0.5000 0.0000 0.2403
Ac: 0.0000 0.5000 0.7597
Tm: 0.5000 0.5000 0.5000
In: 0.0000 0.5000 0.3532
In: 0.5000 0.5000 0.0000
In: 0.5000 0.0000 0.6468
In: 0.0000 0.0000 0.0000

[2]
First-principles (PBE-GGA) data for a relaxed AcTm2In2Hg2 crystal, as listed in Alexandria.

Magnetic moment: 0.00 μB/cell
Crystal system: trigonal
Symmetry: R-3m
Calculated volume: 199.36 Å³ per cell
DFT formation energy: -0.324 eV/atom
Density of states at the Fermi level: 0.57 states/eV/atom

a = 4.9899 Å, b = 4.9899 Å, c = 9.6838 Å
α = 75.07°, β = 75.07°, γ = 60.00°
Fractional coordinates of all 7 atoms:
In: 0.7407 0.7407 0.7779
In: 0.2593 0.2593 0.2221
Hg: 0.5619 0.5619 0.3142
Hg: 0.4381 0.4381 0.6858
Tm: 0.1350 0.1350 0.5951
Tm: 0.8650 0.8650 0.4049
Ac: 0.0000 0.0000 0.0000

[3]
First-principles (PBE-GGA) data for a relaxed AcTmInHg2 crystal, as listed in Alexandria.

Magnetic moment: 0.00 μB/cell
Crystal system: tetragonal
Symmetry: I-4m2
Calculated volume: 145.25 Å³ per cell
DFT formation energy: -0.410 eV/atom
Density of states at the Fermi level: 0.81 states/eV/atom

a = 4.6559 Å, b = 4.6559 Å, c = 7.4655 Å
α = 108.17°, β = 108.17°, γ = 90.00°
Fractional coordinates of all 5 atoms:
In: 0.2500 0.7500 0.5000
Tm: 0.7500 0.2500 0.5000
Hg: 0.3931 0.3931 0.7862
Hg: 0.6069 0.6069 0.2138
Ac: 0.0000 0.0000 0.0000

[4]
First-principles (PBE-GGA) data for a relaxed Ac2TmInHg6 crystal, as listed in Alexandria.

Magnetic moment: 0.00 μB/cell
Crystal system: cubic
Symmetry: Fm-3m
Calculated volume: 331.78 Å³ per cell
DFT formation energy: -0.064 eV/atom
Density of states at the Fermi level: 1.00 states/eV/atom

a = 7.7706 Å, b = 7.7706 Å, c = 7.7706 Å
α = 60.00°, β = 60.00°, γ = 90.00°
Fractional coordinates of all 10 atoms:
Hg: 0.7518 0.7518 0.0000
Hg: 0.2482 0.2482 0.0000
Hg: 0.7518 0.7518 0.4964
Hg: 0.2482 0.2482 0.5036
Hg: 0.2482 0.7518 0.0000
Hg: 0.7518 0.2482 0.0000
Ac: 0.2500 0.7500 0.5000
Ac: 0.7500 0.2500 0.5000
Tm: 0.5000 0.5000 0.0000
In: 0.0000 0.0000 0.0000

[5]
First-principles (PBE-GGA) data for a relaxed AcYInHg crystal, as listed in Alexandria.

Magnetic moment: 0.01 μB/cell
Crystal system: cubic
Symmetry: F-43m
Calculated volume: 122.19 Å³ per cell
DFT formation energy: -0.430 eV/atom
Density of states at the Fermi level: 1.26 states/eV/atom

a = 5.5699 Å, b = 5.5699 Å, c = 5.5699 Å
α = 60.00°, β = 60.00°, γ = 60.00°
Fractional coordinates of all 4 atoms:
Ac: 0.2500 0.2500 0.2500
In: 0.5000 0.5000 0.5000
Y: 0.7500 0.7500 0.7500
Hg: 0.0000 0.0000 0.0000

[6]
First-principles (PBE-GGA) data for a relaxed Ac2Zn3In4Hg crystal, as listed in Alexandria.

Magnetic moment: 0.00 μB/cell
Crystal system: tetragonal
Symmetry: P-4m2
Calculated volume: 253.60 Å³ per cell
DFT formation energy: -0.352 eV/atom
Density of states at the Fermi level: 0.31 states/eV/atom

a = 4.6953 Å, b = 4.6953 Å, c = 11.5034 Å
α = 90.00°, β = 90.00°, γ = 90.00°
Fractional coordinates of all 10 atoms:
Zn: 0.0000 0.0000 0.5000
Zn: 0.5000 0.0000 0.8666
Zn: 0.0000 0.5000 0.1335
In: 0.5000 0.5000 0.0000
In: 0.0000 0.0000 0.0000
In: 0.0000 0.5000 0.3614
In: 0.5000 0.0000 0.6386
Hg: 0.5000 0.5000 0.5000
Ac: 0.5000 0.0000 0.2499
Ac: 0.0000 0.5000 0.7501

[7]
First-principles (PBE-GGA) data for a relaxed Ac2Zn4InHg3 crystal, as listed in Alexandria.

Magnetic moment: 0.00 μB/cell
Crystal system: tetragonal
Symmetry: P-4m2
Calculated volume: 241.48 Å³ per cell
DFT formation energy: -0.317 eV/atom
Density of states at the Fermi level: 0.78 states/eV/atom

a = 4.6754 Å, b = 4.6754 Å, c = 11.0469 Å
α = 90.00°, β = 90.00°, γ = 90.00°
Fractional coordinates of all 10 atoms:
Hg: 0.0000 0.5000 0.1262
Hg: 0.5000 0.0000 0.8738
Hg: 0.0000 0.0000 0.5000
Zn: 0.5000 0.5000 0.0000
Zn: 0.5000 0.0000 0.6365
Zn: 0.0000 0.0000 0.0000
Zn: 0.0000 0.5000 0.3635
In: 0.5000 0.5000 0.5000
Ac: 0.0000 0.5000 0.7590
Ac: 0.5000 0.0000 0.2410

[8]
First-principles (PBE-GGA) data for a relaxed Ac2ZnInHg6 crystal, as listed in Alexandria.

Magnetic moment: 0.00 μB/cell
Crystal system: orthorhombic
Symmetry: Pmmn
Calculated volume: 571.95 Å³ per cell
DFT formation energy: -0.195 eV/atom
Density of states at the Fermi level: 0.41 states/eV/atom

a = 6.1003 Å, b = 10.0567 Å, c = 9.3228 Å
α = 90.00°, β = 90.00°, γ = 90.00°
Fractional coordinates of all 20 atoms:
Hg: 0.5000 0.1127 0.2521
Hg: 0.0000 0.8873 0.2479
Hg: 0.7472 0.9958 0.0000
Hg: 0.2446 0.5211 0.0000
Hg: 0.2528 0.9958 0.0000
Hg: 0.0000 0.8873 0.7521
Hg: 0.7528 0.0042 0.5000
Hg: 0.7554 0.5211 0.0000
Hg: 0.7446 0.4789 0.5000
Hg: 0.2554 0.4789 0.5000
Hg: 0.2472 0.0042 0.5000
Hg: 0.5000 0.1127 0.7479
Ac: 0.5000 0.7431 0.2532
Ac: 0.0000 0.2569 0.7532
Ac: 0.0000 0.2569 0.2468
Ac: 0.5000 0.7431 0.7468
In: 0.5000 0.2814 0.0000
In: 0.0000 0.7186 0.5000
Zn: 0.0000 0.7424 0.0000
Zn: 0.5000 0.2576 0.5000

[9]
First-principles (PBE-GGA) data for a relaxed Ac3Zn2InHg6 crystal, as listed in Alexandria.

Magnetic moment: 0.00 μB/cell
Crystal system: trigonal
Symmetry: P-3m1
Calculated volume: 352.71 Å³ per cell
DFT formation energy: -0.192 eV/atom
Density of states at the Fermi level: 0.72 states/eV/atom

a = 6.6008 Å, b = 6.6008 Å, c = 9.3473 Å
α = 90.00°, β = 90.00°, γ = 120.00°
Fractional coordinates of all 12 atoms:
Ac: 0.3333 0.6667 0.6259
Ac: 0.0000 0.0000 0.0000
Ac: 0.6667 0.3333 0.3741
Hg: 0.8186 0.1814 0.7308
Hg: 0.6372 0.8186 0.2692
Hg: 0.3628 0.1814 0.7308
Hg: 0.1814 0.3628 0.2692
Hg: 0.8186 0.6372 0.7308
Hg: 0.1814 0.8186 0.2692
Zn: 0.6667 0.3333 0.0028
Zn: 0.3333 0.6667 0.9972
In: 0.0000 0.0000 0.5000

[10]
First-principles (PBE-GGA) data for a relaxed Ac3ZnIn2Hg6 crystal, as listed in Alexandria.

Magnetic moment: 0.00 μB/cell
Crystal system: trigonal
Symmetry: P-3m1
Calculated volume: 350.67 Å³ per cell
DFT formation energy: -0.262 eV/atom
Density of states at the Fermi level: 0.72 states/eV/atom

a = 6.6041 Å, b = 6.6041 Å, c = 9.2839 Å
α = 90.00°, β = 90.00°, γ = 120.00°
Fractional coordinates of all 12 atoms:
Hg: 0.6512 0.8256 0.2867
Hg: 0.1744 0.3488 0.2867
Hg: 0.8256 0.1744 0.7133
Hg: 0.1744 0.8256 0.2867
Hg: 0.8256 0.6512 0.7133
Hg: 0.3488 0.1744 0.7133
In: 0.6667 0.3333 0.9926
In: 0.3333 0.6667 0.0074
Zn: 0.0000 0.0000 0.5000
Ac: 0.6667 0.3333 0.3767
Ac: 0.3333 0.6667 0.6233
Ac: 0.0000 0.0000 0.0000

[11]
First-principles (PBE-GGA) data for a relaxed Ac2Zn3InHg4 crystal, as listed in Alexandria.

Magnetic moment: 0.00 μB/cell
Crystal system: tetragonal
Symmetry: P-4m2
Calculated volume: 250.13 Å³ per cell
DFT formation energy: -0.315 eV/atom
Density of states at the Fermi level: 0.55 states/eV/atom

a = 4.6262 Å, b = 4.6262 Å, c = 11.6874 Å
α = 90.00°, β = 90.00°, γ = 90.00°
Fractional coordinates of all 10 atoms:
In: 0.5000 0.5000 0.5000
Zn: 0.0000 0.5000 0.1300
Zn: 0.5000 0.0000 0.8700
Zn: 0.0000 0.0000 0.5000
Ac: 0.5000 0.0000 0.2408
Ac: 0.0000 0.5000 0.7592
Hg: 0.0000 0.5000 0.3558
Hg: 0.5000 0.5000 0.0000
Hg: 0.0000 0.0000 0.0000
Hg: 0.5000 0.0000 0.6442

[12]
First-principles (PBE-GGA) data for a relaxed Ac9HgIr3 crystal, as listed in Alexandria.

Magnetic moment: 0.00 μB/cell
Crystal system: monoclinic
Symmetry: P2_1/m
Calculated volume: 1039.48 Å³ per cell
DFT formation energy: -0.434 eV/atom
Density of states at the Fermi level: 0.96 states/eV/atom

a = 7.4348 Å, b = 11.3440 Å, c = 12.3903 Å
α = 90.00°, β = 95.89°, γ = 90.00°
Fractional coordinates of all 26 atoms:
Ac: 0.4230 0.2500 0.3015
Ac: 0.7496 0.0586 0.5416
Ac: 0.3484 0.5708 0.1201
Ac: 0.1410 0.2500 0.9721
Ac: 0.3484 0.9292 0.1201
Ac: 0.1368 0.5679 0.7925
Ac: 0.6516 0.0708 0.8799
Ac: 0.3008 0.2500 0.6473
Ac: 0.6516 0.4292 0.8799
Ac: 0.1368 0.9321 0.7925
Ac: 0.6992 0.7500 0.3527
Ac: 0.2504 0.9414 0.4584
Ac: 0.8632 0.4321 0.2075
Ac: 0.8590 0.7500 0.0279
Ac: 0.7496 0.4414 0.5416
Ac: 0.8632 0.0679 0.2075
Ac: 0.2504 0.5586 0.4584
Ac: 0.5770 0.7500 0.6985
Hg: 0.9716 0.7500 0.5852
Hg: 0.0284 0.2500 0.4148
Ir: 0.5545 0.9972 0.3274
Ir: 0.4455 0.4972 0.6726
Ir: 0.5545 0.5028 0.3274
Ir: 0.0000 0.5000 0.0000
Ir: 0.0000 0.0000 0.0000
Ir: 0.4455 0.0028 0.6726

[13]
First-principles (PBE-GGA) data for a relaxed Ac6HgIr2 crystal, as listed in Alexandria.

Magnetic moment: 0.00 μB/cell
Crystal system: monoclinic
Symmetry: C2/m
Calculated volume: 358.12 Å³ per cell
DFT formation energy: -0.458 eV/atom
Density of states at the Fermi level: 0.87 states/eV/atom

a = 4.3689 Å, b = 7.1815 Å, c = 12.6201 Å
α = 107.40°, β = 90.00°, γ = 107.71°
Fractional coordinates of all 9 atoms:
Ac: 0.9763 0.9526 0.2285
Ac: 0.0237 0.0474 0.7715
Ac: 0.3313 0.6627 0.9232
Ac: 0.6687 0.3373 0.0768
Ac: 0.3072 0.6144 0.3850
Ac: 0.6928 0.3856 0.6150
Ir: 0.6753 0.3505 0.8386
Ir: 0.3247 0.6495 0.1614
Hg: 0.0000 0.0000 0.5000

[14]
First-principles (PBE-GGA) data for a relaxed Ac12Hg6Ir crystal, as listed in Alexandria.

Magnetic moment: 0.00 μB/cell
Crystal system: trigonal
Symmetry: R-3
Calculated volume: 732.81 Å³ per cell
DFT formation energy: -0.295 eV/atom
Density of states at the Fermi level: 1.40 states/eV/atom

a = 9.0336 Å, b = 9.0336 Å, c = 9.0336 Å
α = 93.53°, β = 93.53°, γ = 93.53°
Fractional coordinates of all 19 atoms:
Ac: 0.1967 0.4225 0.5461
Ac: 0.4225 0.5461 0.1967
Ac: 0.9165 0.6889 0.0427
Ac: 0.5775 0.4539 0.8033
Ac: 0.8033 0.5775 0.4539
Ac: 0.0835 0.3111 0.9573
Ac: 0.5461 0.1967 0.4225
Ac: 0.3111 0.9573 0.0835
Ac: 0.6889 0.0427 0.9165
Ac: 0.4539 0.8033 0.5775
Ac: 0.9573 0.0835 0.3111
Ac: 0.0427 0.9165 0.6889
Hg: 0.1428 0.7349 0.3554
Hg: 0.2651 0.6446 0.8572
Hg: 0.3554 0.1428 0.7349
Hg: 0.7349 0.3554 0.1428
Hg: 0.6446 0.8572 0.2651
Hg: 0.8572 0.2651 0.6446
Ir: 0.0000 0.0000 0.0000

[15]
First-principles (PBE-GGA) data for a relaxed Ac2HgIr crystal, as listed in Alexandria.

Magnetic moment: 0.00 μB/cell
Polymorph energy (0 for the lowest one): 181 meV per atom
Crystal system: cubic
Symmetry: Fm-3m
Calculated volume: 115.60 Å³ per cell
DFT formation energy: -0.432 eV/atom
Density of states at the Fermi level: 0.37 states/eV/atom

a = 5.4679 Å, b = 5.4679 Å, c = 5.4679 Å
α = 60.00°, β = 60.00°, γ = 60.00°
Fractional coordinates of all 4 atoms:
Ac: 0.7500 0.7500 0.7500
Ac: 0.2500 0.2500 0.2500
Hg: 0.0000 0.0000 0.0000
Ir: 0.5000 0.5000 0.5000

[16]
First-principles (PBE-GGA) data for a relaxed Ac2Hg2Ir crystal, as listed in Alexandria.

Magnetic moment: 0.00 μB/cell
Crystal system: monoclinic
Symmetry: C2/m
Calculated volume: 162.49 Å³ per cell
DFT formation energy: -0.521 eV/atom
Density of states at the Fermi level: 0.41 states/eV/atom

a = 4.3955 Å, b = 4.3971 Å, c = 10.6628 Å
α = 102.00°, β = 78.11°, γ = 60.01°
Fractional coordinates of all 5 atoms:
Ac: 0.8325 0.0003 0.3346
Ac: 0.1675 0.9997 0.6654
Hg: 0.2518 0.5816 0.9149
Hg: 0.7482 0.4184 0.0851
Ir: 0.0000 0.5000 0.5000

[17]
First-principles (PBE-GGA) data for a relaxed Ac4HgIr crystal, as listed in Alexandria.

Magnetic moment: 0.00 μB/cell
Polymorph energy (0 for the lowest one): 0 meV per atom
Crystal system: cubic
Symmetry: F-43m
Calculated volume: 826.17 Å³ per cell
DFT formation energy: -0.436 eV/atom
Density of states at the Fermi level: 0.87 states/eV/atom

a = 10.5324 Å, b = 10.5324 Å, c = 10.5324 Å
α = 60.00°, β = 60.00°, γ = 60.00°
Fractional coordinates of all 24 atoms:
Ir: 0.1747 0.6084 0.6084
Ir: 0.6084 0.6084 0.6084
Ir: 0.6084 0.1747 0.6084
Ir: 0.6084 0.6084 0.1747
Ac: 0.9405 0.5595 0.9405
Ac: 0.4024 0.4024 0.4024
Ac: 0.8109 0.1891 0.1891
Ac: 0.9405 0.5595 0.5595
Ac: 0.5595 0.9405 0.5595
Ac: 0.4024 0.7928 0.4024
Ac: 0.1891 0.8109 0.8109
Ac: 0.7928 0.4024 0.4024
Ac: 0.8109 0.8109 0.1891
Ac: 0.5595 0.5595 0.9405
Ac: 0.8109 0.1891 0.8109
Ac: 0.4024 0.4024 0.7928
Ac: 0.9405 0.9405 0.5595
Ac: 0.1891 0.8109 0.1891
Ac: 0.1891 0.1891 0.8109
Ac: 0.5595 0.9405 0.9405
Hg: 0.1652 0.5043 0.1652
Hg: 0.1652 0.1652 0.5043
Hg: 0.1652 0.1652 0.1652
Hg: 0.5043 0.1652 0.1652

[18]
First-principles (PBE-GGA) data for a relaxed Ac6Hg2Ir crystal, as listed in Alexandria.

Magnetic moment: 0.00 μB/cell
Crystal system: monoclinic
Symmetry: P2_1/c
Calculated volume: 698.78 Å³ per cell
DFT formation energy: -0.381 eV/atom
Density of states at the Fermi level: 1.07 states/eV/atom

a = 7.5948 Å, b = 8.0973 Å, c = 11.3876 Å
α = 90.00°, β = 93.79°, γ = 90.00°
Fractional coordinates of all 18 atoms:
Hg: 0.9501 0.4033 0.7674
Hg: 0.5499 0.9033 0.7326
Hg: 0.0499 0.5967 0.2326
Hg: 0.4501 0.0967 0.2674
Ac: 0.6768 0.1882 0.9394
Ac: 0.8232 0.6882 0.5606
Ac: 0.8683 0.9736 0.2494
Ac: 0.8081 0.6956 0.9440
Ac: 0.1768 0.3118 0.4394
Ac: 0.3081 0.8044 0.4440
Ac: 0.6919 0.1956 0.5560
Ac: 0.3232 0.8118 0.0606
Ac: 0.6317 0.4736 0.2506
Ac: 0.3683 0.5264 0.7494
Ac: 0.1317 0.0264 0.7506
Ac: 0.1919 0.3044 0.0560
Ir: 0.0000 0.0000 0.5000
Ir: 0.5000 0.5000 0.0000

[19]
First-principles (PBE-GGA) data for a relaxed Ac4Hg2Ir crystal, as listed in Alexandria.

Magnetic moment: 0.00 μB/cell
Polymorph energy (0 for the lowest one): 128 meV per atom
Crystal system: tetragonal
Symmetry: I4/mmm
Calculated volume: 271.22 Å³ per cell
DFT formation energy: -0.388 eV/atom
Density of states at the Fermi level: 1.00 states/eV/atom

a = 5.7987 Å, b = 5.7987 Å, c = 9.0485 Å
α = 108.69°, β = 108.69°, γ = 90.00°
Fractional coordinates of all 7 atoms:
Ac: 0.1847 0.1847 0.3693
Ac: 0.8153 0.8153 0.6307
Ac: 0.5000 0.0000 0.0000
Ac: 0.0000 0.5000 0.0000
Hg: 0.6154 0.6154 0.2308
Hg: 0.3846 0.3846 0.7692
Ir: 0.0000 0.0000 0.0000

[20]
First-principles (PBE-GGA) data for a relaxed Ac4Hg2Ir crystal, as listed in Alexandria.

Magnetic moment: 0.00 μB/cell
Polymorph energy (0 for the lowest one): 0 meV per atom
Crystal system: monoclinic
Symmetry: C2/m
Calculated volume: 251.06 Å³ per cell
DFT formation energy: -0.516 eV/atom
Density of states at the Fermi level: 0.83 states/eV/atom

a = 4.3538 Å, b = 7.7064 Å, c = 8.3178 Å
α = 72.98°, β = 74.83°, γ = 73.59°
Fractional coordinates of all 7 atoms:
Ac: 0.9151 0.8000 0.3698
Ac: 0.0849 0.2000 0.6302
Ac: 0.6591 0.7560 0.9258
Ac: 0.3409 0.2440 0.0742
Hg: 0.3783 0.5643 0.6792
Hg: 0.6217 0.4357 0.3208
Ir: 0.0000 0.0000 0.0000